First-principles (PBE) data for a geometry-optimized Ca2MgGa4Cu3 structure, as listed in Alexandria via LeMat-Bulk.

```
Ca2MgGa4Cu3
1.0
4.136 0.000 0.000
0.000 4.136 0.000
0.000 0.000 11.114
Ca Mg Ga Cu
2 1 4 3
Direct
0.500 0.000 0.236
0.000 0.500 0.764
0.500 0.500 0.500
0.500 0.500 0.000
0.000 0.000 0.000
0.500 0.000 0.652
0.000 0.500 0.348
0.000 0.000 0.500
0.500 0.000 0.871
0.000 0.500 0.129
```

Values from the calculation:
ΔH_f (0 K), meV per atom: -314